Computed, not measured: a geometry-optimized Rb2Zr3CdS8 structure at the GGA-PBE level of DFT.

For the total magnetization, the calculation gives 0.00 μB per cell. Its uncorrected formation energy is -1.37 eV/atom.

The structure in POSCAR format:
```
Rb2Zr3CdS8
1.0
3.7919 2.1893 8.2717
-3.7919 2.1893 8.2717
0.0000 -4.3785 8.2717
Rb Zr Cd S
2 3 1 8
Direct
0.0000 0.0000 0.0000
0.3481 0.3481 0.3481
0.3521 0.3521 0.8466
0.3521 0.8466 0.3521
0.8466 0.3521 0.3521
0.8411 0.8411 0.8411
0.0804 0.0804 0.5615
0.0804 0.5615 0.0804
0.1271 0.1271 0.1271
0.1446 0.6126 0.6126
0.5615 0.0804 0.0804
0.5759 0.5759 0.5759
0.6126 0.1446 0.6126
0.6126 0.6126 0.1446
```



Computed, not measured: a geometry-optimized Ca3Ga4Ag7 structure at the GGA-PBE level of DFT.

For the total magnetization, the calculation gives 0.00 μB per cell. As for the formation energy: -0.29 eV per atom.

The structure in POSCAR format:
```
Ca3Ga4Ag7
1.0
8.2928 -2.2532 0.0000
8.2928 2.2532 0.0000
-5.4189 0.0000 7.8267
Ca Ga Ag
3 4 7
Direct
0.0000 0.0000 0.0000
0.3095 0.3095 0.3083
0.6905 0.6905 0.6917
0.1262 0.1262 0.4048
0.3277 0.3277 0.9670
0.6723 0.6723 0.0330
0.8738 0.8738 0.5952
0.0000 0.0000 0.5000
0.1357 0.1357 0.8646
0.3216 0.3216 0.6835
0.4995 0.4995 0.2896
0.5005 0.5005 0.7104
0.6784 0.6784 0.3165
0.8643 0.8643 0.1354
```



Computed, not measured: a geometry-optimized Y3Rh structure at the GGA-PBE level of DFT.

For the total magnetization, the calculation gives 0.01 μB per cell. As for the formation energy: -0.07 eV per atom.

The structure in POSCAR format:
```
Y3Rh
1.0
5.8656 0.0000 0.0000
0.0000 5.8656 0.0000
0.0000 0.0000 5.8656
Y Rh
6 2
Direct
0.0000 0.2500 0.5000
0.0000 0.7500 0.5000
0.2500 0.5000 0.0000
0.5000 0.0000 0.2500
0.5000 0.0000 0.7500
0.7500 0.5000 0.0000
0.0000 0.0000 0.0000
0.5000 0.5000 0.5000
```



Computed, not measured: a geometry-optimized CsSbTe3Au structure at the GGA-PBE level of DFT.

For the total magnetization, the calculation gives 0.00 μB per cell. Its uncorrected formation energy is -0.35 eV/atom.

The structure in POSCAR format:
```
CsSbTe3Au
1.0
10.3919 0.0000 0.0000
0.0000 4.4428 0.0000
-3.8785 0.0000 10.0138
Cs Sb Te Au
2 2 6 2
Direct
0.2003 0.2500 0.2511
0.7997 0.7500 0.7489
0.3353 0.7500 0.8684
0.6647 0.2500 0.1316
0.1319 0.2500 0.8656
0.2225 0.7500 0.5585
0.4720 0.7500 0.1644
0.5280 0.2500 0.8356
0.7775 0.2500 0.4415
0.8681 0.7500 0.1344
0.0689 0.2500 0.5836
0.9311 0.7500 0.4164
```